Compound: TbYBiN
Source: the Alexandria database
Functional: GGA-PBE
Structure: optimized geometry

For the formation energy from raw total energies, the calculation gives -1.264 eV per atom.

a = 4.578 Å, b = 4.578 Å, c = 9.129 Å
α = 90.00°, β = 90.00°, γ = 90.00°
Space group P4/nmm (No. 129, origin choice 2)
Asymmetric unit:
1 Tb 0.250 0.250 0.182 [2 per cell]
2 Y 0.250 0.750 0.500 [2 per cell]
3 Bi 0.250 0.250 0.813 [2 per cell]
4 N 0.250 0.250 0.425 [2 per cell]



Compound: LiZrZn4
Source: the Alexandria database
Functional: GGA-PBE
Structure: optimized geometry

The formation energy is 0.042 eV per atom. For the energy above the lowest structure with this stoichiometry, the calculation gives 181 meV per atom.

a = 2.744 Å, b = 4.538 Å, c = 8.111 Å
α = 90.00°, β = 90.00°, γ = 90.00°
Space group Pmmm (No. 47)
Asymmetric unit:
1 Li 0.000 0.000 0.000 [1 per cell]
2 Zr 0.500 0.500 0.500 [1 per cell]
3 Zn 0.000 0.500 0.165 [2 per cell]
4 Zn 0.500 0.000 0.295 [2 per cell]



Compound: AlCuS2
Source: the Alexandria database
Functional: GGA-PBE
Structure: optimized geometry

For the formation energy from raw total energies, the calculation gives -0.710 eV per atom.

a = 3.6130 Å, b = 3.6130 Å, c = 17.9419 Å
α = 90.00°, β = 90.00°, γ = 120.00°
Space group R3m (No. 160, hexagonal axes)
Asymmetric unit:
1 Al 0.0000 0.0000 0.0000 [3 per cell]
2 Cu 0.0000 0.0000 0.1430 [3 per cell]
3 S 0.0000 0.0000 0.2686 [3 per cell]
4 S 0.0000 0.0000 0.7495 [3 per cell]



no.,E (eV per atom)
1,-7.089
2,-2.551
3,-4.733